1.
A plane-wave DFT calculation with GGA-PBE was carried out for a relaxed ScOs2Pd crystal.

a b c (Å): 6.319 6.319 6.319
angles (deg): 90.00 90.00 90.00
Space group Fm-3m (No. 225)
Inequivalent atoms, fractional coordinates:
Sc 0.000 0.000 0.000 [4 per cell]
Os 0.250 0.250 0.250 [8 per cell]
Pd 0.000 0.000 0.500 [4 per cell]

formation enthalpy at 0 K: 0.29 eV per atom
relative energy among the computed polymorphs: 9.7 meV/atom


2.
A plane-wave DFT calculation with GGA-PBE was carried out for a relaxed Sc3OsPd crystal.

a b c (Å): 4.866 4.866 4.866
angles (deg): 90.00 90.00 90.00
Space group Pm-3m (No. 221)
Inequivalent atoms, fractional coordinates:
Sc 0.000 0.000 0.500 [3 per cell]
Os 0.500 0.500 0.500 [1 per cell]
Pd 0.000 0.000 0.000 [1 per cell]

formation enthalpy at 0 K: 0.49 eV per atom
relative energy among the computed polymorphs: 494.5 meV/atom


3.
A plane-wave DFT calculation with GGA-PBE was carried out for a relaxed ScOsPd3 crystal.

a b c (Å): 4.632 4.632 4.632
angles (deg): 90.00 90.00 90.00
Space group Pm-3m (No. 221)
Inequivalent atoms, fractional coordinates:
Sc 0.000 0.000 0.000 [1 per cell]
Os 0.500 0.500 0.500 [1 per cell]
Pd 0.000 0.000 0.500 [3 per cell]

formation enthalpy at 0 K: 1.16 eV per atom
relative energy among the computed polymorphs: 338.0 meV/atom


4.
A plane-wave DFT calculation with GGA-PBE was carried out for a relaxed ScOs2Pd crystal.

a b c (Å): 3.727 3.727 19.720
angles (deg): 90.00 90.00 90.00
Space group I-42d (No. 122)
Inequivalent atoms, fractional coordinates:
Sc 0.000 0.000 0.000 [4 per cell]
Os 0.224 0.250 0.625 [8 per cell]
Pd 0.000 0.000 0.500 [4 per cell]

formation enthalpy at 0 K: 0.28 eV per atom
relative energy among the computed polymorphs: 0.0 meV/atom


5.
A plane-wave DFT calculation with GGA-PBE was carried out for a relaxed Sc3OsPd2 crystal.

a b c (Å): 4.6320 4.6320 5.6533
angles (deg): 90.00 90.00 120.00
Space group P-3m1 (No. 164)
Inequivalent atoms, fractional coordinates:
Sc 0.0000 0.0000 0.0000 [1 per cell]
Sc 0.3333 0.6667 0.6556 [2 per cell]
Os 0.0000 0.0000 0.5000 [1 per cell]
Pd 0.3333 0.6667 0.1624 [2 per cell]

formation enthalpy at 0 K: -0.77 eV per atom


6.
A plane-wave DFT calculation with GGA-PBE was carried out for a relaxed Sc2OsPd crystal.

a b c (Å): 6.502 6.502 6.502
angles (deg): 90.00 90.00 90.00
Space group Fm-3m (No. 225)
Inequivalent atoms, fractional coordinates:
Sc 0.250 0.250 0.250 [8 per cell]
Os 0.000 0.000 0.000 [4 per cell]
Pd 0.000 0.000 0.500 [4 per cell]

formation enthalpy at 0 K: -0.69 eV per atom
relative energy among the computed polymorphs: 47.0 meV/atom


7.
A plane-wave DFT calculation with GGA-PBE was carried out for a relaxed Sc5Os4Pd crystal.

a b c (Å): 3.241 3.241 16.107
angles (deg): 90.00 90.00 90.00
Space group P4/mmm (No. 123)
Inequivalent atoms, fractional coordinates:
Sc 0.000 0.000 0.000 [1 per cell]
Sc 0.000 0.000 0.198 [2 per cell]
Sc 0.000 0.000 0.393 [2 per cell]
Os 0.500 0.500 0.099 [2 per cell]
Os 0.500 0.500 0.300 [2 per cell]
Pd 0.500 0.500 0.500 [1 per cell]

formation enthalpy at 0 K: -0.49 eV per atom


8.
A plane-wave DFT calculation with GGA-PBE was carried out for a relaxed Sc4OsPd2 crystal.

a b c (Å): 6.441 9.295 4.585
angles (deg): 90.00 90.00 90.00
Space group Cmmm (No. 65)
Inequivalent atoms, fractional coordinates:
Sc 0.249 0.000 0.000 [4 per cell]
Sc 0.250 0.250 0.500 [4 per cell]
Os 0.000 0.000 0.500 [2 per cell]
Pd 0.000 0.244 0.000 [4 per cell]

formation enthalpy at 0 K: -0.62 eV per atom


9.
A plane-wave DFT calculation with GGA-PBE was carried out for a relaxed Sc4Os2Pd crystal.

a b c (Å): 4.5707 4.5707 22.0387
angles (deg): 90.00 90.00 120.00
Space group R-3m (No. 166, hexagonal axes)
Inequivalent atoms, fractional coordinates:
Sc 0.0000 0.0000 0.1195 [6 per cell]
Sc 0.0000 0.0000 0.3708 [6 per cell]
Os 0.0000 0.0000 0.2477 [6 per cell]
Pd 0.0000 0.0000 0.5000 [3 per cell]

formation enthalpy at 0 K: -0.50 eV per atom


10.
A plane-wave DFT calculation with GGA-PBE was carried out for a relaxed Sc3OsPd crystal.

a b c (Å): 4.957 4.957 4.957
angles (deg): 90.00 90.00 90.00
Space group Pm-3m (No. 221)
Inequivalent atoms, fractional coordinates:
Sc 0.000 0.000 0.500 [3 per cell]
Os 0.000 0.000 0.000 [1 per cell]
Pd 0.500 0.500 0.500 [1 per cell]

formation enthalpy at 0 K: 0.00 eV per atom
relative energy among the computed polymorphs: 0.0 meV/atom


11.
A plane-wave DFT calculation with GGA-PBE was carried out for a relaxed Sc4Os3Pd crystal.

a b c (Å): 4.576 4.576 6.461
angles (deg): 90.00 90.00 90.00
Space group P4/mmm (No. 123)
Inequivalent atoms, fractional coordinates:
Sc 0.000 0.500 0.243 [4 per cell]
Os 0.000 0.000 0.000 [1 per cell]
Os 0.000 0.000 0.500 [1 per cell]
Os 0.500 0.500 0.000 [1 per cell]
Pd 0.500 0.500 0.500 [1 per cell]

formation enthalpy at 0 K: -0.52 eV per atom


12.
A plane-wave DFT calculation with GGA-PBE was carried out for a relaxed Sc2OsPd crystal.

a b c (Å): 5.966 5.966 11.734
angles (deg): 90.00 90.00 90.00
Space group I-42d (No. 122)
Inequivalent atoms, fractional coordinates:
Sc 0.227 0.250 0.125 [8 per cell]
Os 0.000 0.000 0.000 [4 per cell]
Pd 0.000 0.000 0.500 [4 per cell]

formation enthalpy at 0 K: 0.58 eV per atom
relative energy among the computed polymorphs: 1310.3 meV/atom


13.
A plane-wave DFT calculation with GGA-PBE was carried out for a relaxed Sc6OsPd5 crystal.

a b c (Å): 4.682 6.506 14.062
angles (deg): 90.00 90.00 90.00
Space group Immm (No. 71)
Inequivalent atoms, fractional coordinates:
Sc 0.000 0.243 0.000 [4 per cell]
Sc 0.000 0.253 0.337 [8 per cell]
Os 0.000 0.500 0.500 [2 per cell]
Pd 0.000 0.000 0.167 [4 per cell]
Pd 0.000 0.000 0.500 [2 per cell]
Pd 0.000 0.500 0.170 [4 per cell]

formation enthalpy at 0 K: -0.85 eV per atom


14.
A plane-wave DFT calculation with GGA-PBE was carried out for a relaxed ScSnOsPd crystal.

a b c (Å): 6.512 6.512 6.512
angles (deg): 90.00 90.00 90.00
Space group F-43m (No. 216)
Inequivalent atoms, fractional coordinates:
Sc 0.000 0.000 0.000 [4 per cell]
Sn 0.000 0.000 0.500 [4 per cell]
Os 0.250 0.250 0.250 [4 per cell]
Pd 0.250 0.250 0.750 [4 per cell]

formation enthalpy at 0 K: -0.45 eV per atom


15.
A plane-wave DFT calculation with GGA-PBE was carried out for a relaxed ScTa2OsPd crystal.

a b c (Å): 4.738 4.738 4.927
angles (deg): 90.00 90.00 90.00
Space group P4/mmm (No. 123)
Inequivalent atoms, fractional coordinates:
Sc 0.000 0.000 0.000 [1 per cell]
Ta 0.000 0.500 0.500 [2 per cell]
Os 0.500 0.500 0.000 [1 per cell]
Pd 0.500 0.500 0.500 [1 per cell]

formation enthalpy at 0 K: 1.38 eV per atom


16.
A plane-wave DFT calculation with GGA-PBE was carried out for a relaxed TbScOsPd crystal.

a b c (Å): 6.721 6.721 6.721
angles (deg): 90.00 90.00 90.00
Space group F-43m (No. 216)
Inequivalent atoms, fractional coordinates:
Tb 0.000 0.000 0.000 [4 per cell]
Sc 0.000 0.000 0.500 [4 per cell]
Os 0.250 0.250 0.750 [4 per cell]
Pd 0.250 0.250 0.250 [4 per cell]

formation enthalpy at 0 K: -0.56 eV per atom


17.
A plane-wave DFT calculation with GGA-PBE was carried out for a relaxed ScTeOs2Pd crystal.

a b c (Å): 4.683 4.683 5.254
angles (deg): 90.00 90.00 90.00
Space group P4/mmm (No. 123)
Inequivalent atoms, fractional coordinates:
Sc 0.000 0.000 0.000 [1 per cell]
Te 0.000 0.000 0.500 [1 per cell]
Os 0.000 0.500 0.000 [2 per cell]
Pd 0.500 0.500 0.500 [1 per cell]

formation energy without anion corrections: 1.852 eV/atom


18.
A plane-wave DFT calculation with GGA-PBE was carried out for a relaxed ThScOsPd crystal.

a b c (Å): 6.900 6.900 6.900
angles (deg): 90.00 90.00 90.00
Space group F-43m (No. 216)
Inequivalent atoms, fractional coordinates:
Th 0.000 0.000 0.000 [4 per cell]
Sc 0.000 0.000 0.500 [4 per cell]
Os 0.250 0.250 0.250 [4 per cell]
Pd 0.250 0.250 0.750 [4 per cell]

formation enthalpy at 0 K: -0.53 eV per atom


19.
A plane-wave DFT calculation with GGA-PBE was carried out for a relaxed TmScOsPd crystal.

a b c (Å): 3.341 3.341 6.636
angles (deg): 90.00 90.00 90.00
Space group P4mm (No. 99)
Inequivalent atoms, fractional coordinates:
Tm 0.000 0.000 0.000 [1 per cell]
Sc 0.000 0.000 0.522 [1 per cell]
Os 0.500 0.500 0.746 [1 per cell]
Pd 0.500 0.500 0.270 [1 per cell]

formation enthalpy at 0 K: -0.68 eV per atom
relative energy among the computed polymorphs: 0.0 meV/atom


20.
A plane-wave DFT calculation with GGA-PBE was carried out for a relaxed TmScOsPd crystal.

a b c (Å): 6.655 6.655 6.655
angles (deg): 90.00 90.00 90.00
Space group F-43m (No. 216)
Inequivalent atoms, fractional coordinates:
Tm 0.000 0.000 0.000 [4 per cell]
Sc 0.000 0.000 0.500 [4 per cell]
Os 0.250 0.250 0.750 [4 per cell]
Pd 0.250 0.250 0.250 [4 per cell]

formation enthalpy at 0 K: -0.64 eV per atom
relative energy among the computed polymorphs: 41.4 meV/atom


no.,theoretical density (g cm⁻³),total magnetic moment (μB/f.u.)
1,14.00,0.0
2,6.22,0.0
3,9.26,2.5
4,12.90,0.0
5,8.50,0.0
6,9.34,0.0
7,10.72,0.0
8,7.05,0.0
9,8.33,0.0
10,5.88,0.0
11,10.52,0.0
12,6.15,0.0
13,7.69,0.0
14,11.07,0.0
15,10.56,0.0
16,10.95,0.0
17,9.50,2.7
18,11.60,0.0
19,11.45,0.0
20,11.50,0.0